No. 1
AuSe2BrCl: single point on PBEsol structure, meta-GGA SCAN.

Properties
Final energy = -134.28 eV per cell
Calculated volume = 131.39 Å³/cell
Formation energy from raw total energies = 2.48 eV/f.u.

a = 5.081 Å, b = 5.081 Å, c = 5.089 Å
α = 90.00°, β = 90.00°, γ = 90.00°
Fractional coordinates of all 5 atoms:
1 Au 0.000 0.000 0.000
2 Se 0.000 0.500 0.000
3 Se 0.500 0.000 0.000
4 Br 0.000 0.000 0.500
5 Cl 0.500 0.500 0.500

=====

No. 2
CoAuBr: single point on PBEsol structure, meta-GGA SCAN.

Properties
Final energy = -104.04 eV per cell
Calculated volume = 62.42 Å³/cell
Formation energy from raw total energies = 1.88 eV/f.u.

a = 4.453 Å, b = 4.453 Å, c = 4.453 Å
α = 60.00°, β = 60.00°, γ = 60.00°
Fractional coordinates of all 3 atoms:
1 Co 0.000 0.000 0.000
2 Au 0.250 0.250 0.250
3 Br 0.500 0.500 0.500